No. 1
Computed, not measured: a relaxed structure of AcSmIr at the PBE-GGA level of DFT.

Structure (CIF):
```
data_AcSmIr
_chemical_formula_sum 'Ac4 Sm4 Ir4'
_cell_length_a 7.1608
_cell_length_b 7.1608
_cell_length_c 7.1608
_cell_angle_alpha 90.00
_cell_angle_beta 90.00
_cell_angle_gamma 90.00
_symmetry_space_group_name_H-M 'F -4 3 m'
_symmetry_Int_Tables_number 216
_symmetry_space_group_name_Hall 'F -4 2 3'
loop_
_atom_site_label
_atom_site_type_symbol
_atom_site_fract_x
_atom_site_fract_y
_atom_site_fract_z
_atom_site_occupancy
Ac1 Ac 0.0000 0.0000 0.0000 1
Sm1 Sm 0.0000 0.0000 0.5000 1
Ir1 Ir 0.2500 0.2500 0.2500 1
```

Output
E above lowest polymorph = 0.18 eV per formula unit
DFT formation energy = -0.494 eV per atom

=====

No. 2
Computed, not measured: a relaxed structure of BeO2F2 at the PBE-GGA level of DFT.

Structure (CIF):
```
data_BeO2F2
_chemical_formula_sum 'Be1 O2 F2'
_cell_length_a 3.3983
_cell_length_b 3.3983
_cell_length_c 4.4425
_cell_angle_alpha 90.00
_cell_angle_beta 90.00
_cell_angle_gamma 90.00
_symmetry_space_group_name_H-M 'P 4/m m m'
_symmetry_Int_Tables_number 123
_symmetry_space_group_name_Hall '-P 4 2'
loop_
_atom_site_label
_atom_site_type_symbol
_atom_site_fract_x
_atom_site_fract_y
_atom_site_fract_z
_atom_site_occupancy
Be1 Be 0.0000 0.0000 0.0000 1
O1 O 0.0000 0.5000 0.5000 1
F1 F 0.5000 0.5000 0.0000 1
F2 F 0.5000 0.5000 0.5000 1
```

Output
E above lowest polymorph = 6.97 eV per formula unit

=====

No. 3
Computed, not measured: a relaxed structure of NiIrRu2 at the PBE-GGA level of DFT.

Structure (CIF):
```
data_NiIrRu2
_chemical_formula_sum 'Ni2 Ir2 Ru4'
_cell_length_a 2.7181
_cell_length_b 4.5721
_cell_length_c 8.9676
_cell_angle_alpha 90.00
_cell_angle_beta 90.00
_cell_angle_gamma 90.00
_symmetry_space_group_name_H-M 'C m m 2'
_symmetry_Int_Tables_number 35
loop_
_symmetry_equiv_pos_as_xyz
'x,y,z'
'-x,-y,z'
'-x,y,z'
'x,-y,z'
'x+1/2,y+1/2,z'
'-x+1/2,-y+1/2,z'
'-x+1/2,y+1/2,z'
'x+1/2,-y+1/2,z'
loop_
_atom_site_label
_atom_site_type_symbol
_atom_site_fract_x
_atom_site_fract_y
_atom_site_fract_z
_atom_site_occupancy
Ni1 Ni 0.0000 0.0000 0.0000 1
Ir1 Ir 0.0000 0.5000 0.2443 1
Ru1 Ru 0.0000 0.0000 0.5051 1
Ru2 Ru 0.0000 0.5000 0.7590 1
```

Output
E above lowest polymorph = 1.40 eV per formula unit
DFT formation energy = 0.387 eV per atom

=====

No. 4
Computed, not measured: a relaxed structure of SmHo2Th3 at the PBE-GGA level of DFT.

Structure (CIF):
```
data_SmHo2Th3
_chemical_formula_sum 'Sm4 Ho8 Th12'
_cell_length_a 10.2323
_cell_length_b 11.3238
_cell_length_c 6.7288
_cell_angle_alpha 90.00
_cell_angle_beta 90.00
_cell_angle_gamma 90.00
_symmetry_space_group_name_H-M 'C m c m'
_symmetry_Int_Tables_number 63
_symmetry_space_group_name_Hall '-C 2c 2'
loop_
_atom_site_label
_atom_site_type_symbol
_atom_site_fract_x
_atom_site_fract_y
_atom_site_fract_z
_atom_site_occupancy
Sm1 Sm 0.0000 0.2305 0.2500 1
Ho1 Ho 0.1662 0.2706 0.7500 1
Th1 Th 0.0000 0.5000 0.0000 1
Th2 Th 0.1673 0.0000 0.0000 1
```

Output
DFT formation energy = 0.187 eV per atom

=====

No. 5
Computed, not measured: a relaxed structure of NaAg2IrF6 at the PBE-GGA level of DFT.

Structure (CIF):
```
data_NaAg2IrF6
_chemical_formula_sum 'Na3 Ag6 Ir3 F18'
_cell_length_a 6.0429
_cell_length_b 6.0429
_cell_length_c 13.6360
_cell_angle_alpha 90.00
_cell_angle_beta 90.00
_cell_angle_gamma 120.00
_symmetry_space_group_name_H-M 'R -3'
_symmetry_Int_Tables_number 148
_symmetry_space_group_name_Hall '-R 3'
loop_
_atom_site_label
_atom_site_type_symbol
_atom_site_fract_x
_atom_site_fract_y
_atom_site_fract_z
_atom_site_occupancy
Na1 Na 0.0000 0.0000 0.0000 1
Ag1 Ag 0.0000 0.0000 0.2516 1
Ir1 Ir 0.0000 0.0000 0.5000 1
F1 F 0.0226 0.6141 0.2442 1
```

Output
raw total energy = -4.2124 eV/atom

=====

No. 6
Computed, not measured: a relaxed structure of Ta2AlTl at the PBE-GGA level of DFT.

Structure (CIF):
```
data_Ta2AlTl
_chemical_formula_sum 'Ta4 Al2 Tl2'
_cell_length_a 3.7070
_cell_length_b 4.5113
_cell_length_c 8.9587
_cell_angle_alpha 90.00
_cell_angle_beta 90.00
_cell_angle_gamma 90.00
_symmetry_space_group_name_H-M 'I m m 2'
_symmetry_Int_Tables_number 44
loop_
_symmetry_equiv_pos_as_xyz
'x,y,z'
'-x,-y,z'
'-x,y,z'
'x,-y,z'
'x+1/2,y+1/2,z+1/2'
'-x+1/2,-y+1/2,z+1/2'
'-x+1/2,y+1/2,z+1/2'
'x+1/2,-y+1/2,z+1/2'
loop_
_atom_site_label
_atom_site_type_symbol
_atom_site_fract_x
_atom_site_fract_y
_atom_site_fract_z
_atom_site_occupancy
Ta1 Ta 0.0000 0.0000 0.0000 1
Ta2 Ta 0.0000 0.5000 0.2604 1
Al1 Al 0.0000 0.0000 0.5119 1
Tl1 Tl 0.0000 0.5000 0.7617 1
```

Output
DFT formation energy = 0.306 eV per atom